The following is a DFT calculation (PBE) of a relaxed TbCeOsPd crystal.

The structure in POSCAR format:
```
TbCeOsPd
1.0
0.000 3.491 3.491
3.491 0.000 3.491
3.491 3.491 0.000
Tb Ce Os Pd
1 1 1 1
Direct
0.000 0.000 0.000 Tb
0.500 0.500 0.500 Ce
0.750 0.750 0.750 Os
0.250 0.250 0.250 Pd
```

Values from the calculation:
E_tot	-28.769	eV/cell
formation energy	-446	meV per atom
crystal system	cubic
calculated density	11629	kg/m3
DOS at the Fermi energy	4.7	states/eV/f.u.
symmetry	No. 216

***

The following is a DFT calculation (PBE) of a relaxed CeThOsPd crystal.

The structure in POSCAR format:
```
CeThOsPd
1.0
0.000 3.553 3.553
3.553 0.000 3.553
3.553 3.553 0.000
Ce Th Os Pd
1 1 1 1
Direct
0.000 0.000 0.000 Ce
0.500 0.500 0.500 Th
0.250 0.250 0.250 Os
0.750 0.750 0.750 Pd
```

Values from the calculation:
E_tot	-31.382	eV/cell
formation energy	-401	meV per atom
crystal system	cubic
calculated density	12383	kg/m3
DOS at the Fermi energy	8.0	states/eV/f.u.
symmetry	No. 216

***

The following is a DFT calculation (PBE) of a relaxed CeUOsPd crystal.

The structure in POSCAR format:
```
CeUOsPd
1.0
0.000 3.324 3.324
3.324 0.000 3.324
3.324 3.324 0.000
Ce U Os Pd
1 1 1 1
Direct
0.000 0.000 0.000 Ce
0.750 0.750 0.750 U
0.500 0.500 0.500 Os
0.250 0.250 0.250 Pd
```

Values from the calculation:
E_tot	-34.647	eV/cell
formation energy	-251	meV per atom
crystal system	cubic
calculated density	15256	kg/m3
DOS at the Fermi energy	4.5	states/eV/f.u.
symmetry	No. 216

***

The following is a DFT calculation (PBE) of a relaxed CeYOsPd crystal.

The structure in POSCAR format:
```
CeYOsPd
1.0
0.000 3.489 3.489
3.489 0.000 3.489
3.489 3.489 0.000
Ce Y Os Pd
1 1 1 1
Direct
0.000 0.000 0.000 Ce
0.500 0.500 0.500 Y
0.750 0.750 0.750 Os
0.250 0.250 0.250 Pd
```

Values from the calculation:
E_tot	-30.599	eV/cell
formation energy	-445	meV per atom
crystal system	cubic
calculated density	10277	kg/m3
DOS at the Fermi energy	4.8	states/eV/f.u.
symmetry	No. 216

***

The following is a DFT calculation (PBE) of a relaxed Ce2PmOs2 crystal.

The structure in POSCAR format:
```
Ce2PmOs2
1.0
6.070 -2.113 0.000
6.070 2.113 0.000
-4.935 0.000 9.382
Ce Pm Os
4 2 4
Direct
0.049 0.049 0.208 Ce
0.179 0.179 0.586 Ce
0.821 0.821 0.414 Ce
0.951 0.951 0.792 Ce
0.306 0.306 0.144 Pm
0.694 0.694 0.856 Pm
0.380 0.380 0.912 Os
0.439 0.439 0.579 Os
0.561 0.561 0.421 Os
0.620 0.620 0.088 Os
```

Values from the calculation:
E_tot	-78.999	eV/cell
formation energy	-84	meV per atom
crystal system	monoclinic
calculated density	11119	kg/m3
DOS at the Fermi energy	7.0	states/eV/f.u.
energy above the lowest structure with this stoichiometry	0.000	eV per atom
symmetry	No. 12

***

The following is a DFT calculation (PBE) of a relaxed Ce12PmOs6 crystal.

The structure in POSCAR format:
```
Ce12PmOs6
1.0
6.509 3.758 3.298
-6.509 3.758 3.298
0.000 -7.516 3.298
Ce Pm Os
12 1 6
Direct
0.000 0.391 0.609 Ce
0.000 0.609 0.391 Ce
0.072 0.072 0.330 Ce
0.072 0.330 0.072 Ce
0.330 0.072 0.072 Ce
0.391 0.000 0.609 Ce
0.391 0.609 0.000 Ce
0.609 0.000 0.391 Ce
0.609 0.391 0.000 Ce
0.670 0.928 0.928 Ce
0.928 0.670 0.928 Ce
0.928 0.928 0.670 Ce
0.500 0.500 0.500 Pm
0.221 0.777 0.777 Os
0.223 0.223 0.779 Os
0.223 0.779 0.223 Os
0.777 0.221 0.777 Os
0.777 0.777 0.221 Os
0.779 0.223 0.223 Os
```

Values from the calculation:
E_tot	-143.955	eV/cell
formation energy	-33	meV per atom
crystal system	trigonal
calculated density	10181	kg/m3
DOS at the Fermi energy	40.4	states/eV/f.u.
symmetry	No. 166

***

The following is a DFT calculation (PBE) of a relaxed CePmOs crystal.

The structure in POSCAR format:
```
CePmOs
1.0
7.158 -2.062 0.000
7.158 2.062 0.000
-0.872 0.000 5.753
Ce Pm Os
2 2 2
Direct
0.169 0.169 0.305 Ce
0.831 0.831 0.695 Ce
0.415 0.415 0.213 Pm
0.585 0.585 0.787 Pm
0.227 0.227 0.814 Os
0.773 0.773 0.186 Os
```

Values from the calculation:
E_tot	-44.442	eV/cell
formation energy	-102	meV per atom
crystal system	monoclinic
calculated density	9298	kg/m3
DOS at the Fermi energy	4.0	states/eV/f.u.
energy above the lowest structure with this stoichiometry	0.000	eV per atom
symmetry	No. 12

***

The following is a DFT calculation (PBE) of a relaxed Ce2Pm2Os crystal.

The structure in POSCAR format:
```
Ce2Pm2Os
1.0
3.597 -6.140 0.000
3.597 6.140 0.000
-3.022 0.000 6.672
Ce Pm Os
4 4 2
Direct
0.219 0.219 0.412 Ce
0.275 0.275 0.912 Ce
0.725 0.725 0.088 Ce
0.781 0.781 0.588 Ce
0.222 0.667 0.248 Pm
0.333 0.778 0.752 Pm
0.667 0.222 0.248 Pm
0.778 0.333 0.752 Pm
0.118 0.882 0.000 Os
0.882 0.118 0.000 Os
```

Values from the calculation:
E_tot	-65.288	eV/cell
formation energy	-9	meV per atom
crystal system	monoclinic
calculated density	8570	kg/m3
DOS at the Fermi energy	11.5	states/eV/f.u.
symmetry	No. 12

***

The following is a DFT calculation (PBE) of a relaxed CePmOs2 crystal.

The structure in POSCAR format:
```
CePmOs2
1.0
0.000 3.486 3.486
3.486 0.000 3.486
3.486 3.486 0.000
Ce Pm Os
1 1 2
Direct
0.000 0.000 0.000 Ce
0.500 0.500 0.500 Pm
0.250 0.250 0.250 Os
0.750 0.750 0.750 Os
```

Values from the calculation:
E_tot	-32.999	eV/cell
formation energy	36	meV per atom
crystal system	cubic
calculated density	13049	kg/m3
DOS at the Fermi energy	3.7	states/eV/f.u.
energy above the lowest structure with this stoichiometry	0.051	eV per atom
symmetry	No. 225

***

The following is a DFT calculation (PBE) of a relaxed CePmOs crystal.

The structure in POSCAR format:
```
CePmOs
1.0
-1.960 1.960 11.990
1.960 -1.960 11.990
1.960 1.960 -11.990
Ce Pm Os
2 2 2
Direct
0.190 0.190 0.000 Ce
0.810 0.810 0.000 Ce
0.426 0.426 0.000 Pm
0.574 0.574 0.000 Pm
0.315 0.315 0.000 Os
0.685 0.685 0.000 Os
```

Values from the calculation:
E_tot	-43.118	eV/cell
formation energy	118	meV per atom
crystal system	tetragonal
calculated density	8571	kg/m3
DOS at the Fermi energy	3.7	states/eV/f.u.
energy above the lowest structure with this stoichiometry	0.221	eV per atom
symmetry	No. 139

***

The following is a DFT calculation (PBE) of a relaxed Ce2PmOs2 crystal.

The structure in POSCAR format:
```
Ce2PmOs2
1.0
4.202 -7.066 0.000
4.202 7.066 0.000
-3.117 0.000 4.069
Ce Pm Os
4 2 4
Direct
0.089 0.911 0.750 Ce
0.250 0.750 0.250 Ce
0.750 0.250 0.750 Ce
0.911 0.089 0.250 Ce
0.412 0.588 0.750 Pm
0.588 0.412 0.250 Pm
0.149 0.320 0.985 Os
0.320 0.149 0.485 Os
0.680 0.851 0.515 Os
0.851 0.680 0.015 Os
```

Values from the calculation:
E_tot	-78.757	eV/cell
formation energy	-60	meV per atom
crystal system	monoclinic
calculated density	11075	kg/m3
DOS at the Fermi energy	7.0	states/eV/f.u.
energy above the lowest structure with this stoichiometry	0.024	eV per atom
symmetry	No. 15

***

The following is a DFT calculation (PBE) of a relaxed Ce4PmOs4 crystal.

The structure in POSCAR format:
```
Ce4PmOs4
1.0
6.985 0.000 0.000
0.000 6.985 0.000
0.000 0.000 9.022
Ce Pm Os
8 2 8
Direct
0.003 0.250 0.110 Ce
0.250 0.003 0.610 Ce
0.250 0.497 0.610 Ce
0.497 0.250 0.110 Ce
0.503 0.750 0.890 Ce
0.750 0.503 0.390 Ce
0.750 0.997 0.390 Ce
0.997 0.750 0.890 Ce
0.250 0.750 0.250 Pm
0.750 0.250 0.750 Pm
0.057 0.250 0.412 Os
0.250 0.057 0.912 Os
0.250 0.443 0.912 Os
0.443 0.250 0.412 Os
0.557 0.750 0.588 Os
0.750 0.557 0.088 Os
0.750 0.943 0.088 Os
0.943 0.750 0.588 Os
```

Values from the calculation:
E_tot	-146.086	eV/cell
formation energy	40	meV per atom
crystal system	tetragonal
calculated density	11064	kg/m3
DOS at the Fermi energy	8.7	states/eV/f.u.
symmetry	No. 137